Record 1
# BeReBr3 | Alexandria via LeMat-Bulk | PBE | relaxed
data_BeReBr3
_chemical_formula_sum 'Be1 Re1 Br3'
_cell_length_a 5.145
_cell_length_b 5.145
_cell_length_c 5.145
_cell_angle_alpha 90.00
_cell_angle_beta 90.00
_cell_angle_gamma 90.00
_space_group_name_H-M_alt 'P m -3 m'
_space_group_IT_number 221
_space_group_name_Hall '-P 4 2 3'
loop_
_atom_site_label
_atom_site_type_symbol
_atom_site_fract_x
_atom_site_fract_y
_atom_site_fract_z
Be1 Be 0.000 0.000 0.000
Re1 Re 0.500 0.500 0.500
Br1 Br 0.000 0.500 0.500
# - formation energy without anion corrections (eV per atom) = 0.9188
# - DOS(E_F) (states/eV per cell) = 3.2
# - V (Å³ per cell) = 136.2
# - E (eV/atom) = -3.320

=====

Record 2
# Be2ReSnBr | Alexandria via LeMat-Bulk | PBE | relaxed
data_Be2ReSnBr
_chemical_formula_sum 'Be2 Re1 Sn1 Br1'
_cell_length_a 4.224
_cell_length_b 4.224
_cell_length_c 5.036
_cell_angle_alpha 90.00
_cell_angle_beta 90.00
_cell_angle_gamma 90.00
_space_group_name_H-M_alt 'P 4/m m m'
_space_group_IT_number 123
_space_group_name_Hall '-P 4 2'
loop_
_atom_site_label
_atom_site_type_symbol
_atom_site_fract_x
_atom_site_fract_y
_atom_site_fract_z
Be1 Be 0.000 0.500 0.000
Re1 Re 0.000 0.000 0.500
Sn1 Sn 0.500 0.500 0.500
Br1 Br 0.000 0.000 0.000
# - formation energy without anion corrections (eV per atom) = 1.6160
# - DOS(E_F) (states/eV per cell) = 3.9
# - V (Å³ per cell) = 89.9
# - E (eV/atom) = -3.499

=====

Record 3
# BeV2ReBr | Alexandria via LeMat-Bulk | PBE | relaxed
data_BeV2ReBr
_chemical_formula_sum 'Be1 V2 Re1 Br1'
_cell_length_a 4.249
_cell_length_b 4.249
_cell_length_c 4.162
_cell_angle_alpha 90.00
_cell_angle_beta 90.00
_cell_angle_gamma 90.00
_space_group_name_H-M_alt 'P 4/m m m'
_space_group_IT_number 123
_space_group_name_Hall '-P 4 2'
loop_
_atom_site_label
_atom_site_type_symbol
_atom_site_fract_x
_atom_site_fract_y
_atom_site_fract_z
Be1 Be 0.000 0.000 0.000
V1 V 0.000 0.500 0.000
Re1 Re 0.500 0.500 0.500
Br1 Br 0.000 0.000 0.500
# - formation energy without anion corrections (eV per atom) = 1.5694
# - DOS(E_F) (states/eV per cell) = 7.8
# - V (Å³ per cell) = 75.1
# - E (eV/atom) = -5.647

=====

Record 4
# BeRh2Br | Alexandria via LeMat-Bulk | PBE | relaxed
data_BeRh2Br
_chemical_formula_sum 'Be2 Rh4 Br2'
_cell_length_a 5.603
_cell_length_b 8.161
_cell_length_c 3.090
_cell_angle_alpha 90.00
_cell_angle_beta 122.31
_cell_angle_gamma 90.00
_space_group_name_H-M_alt 'C 1 2/m 1'
_space_group_IT_number 12
loop_
_space_group_symop_operation_xyz
'x,y,z'
'-x,-y,-z'
'-x,y,-z'
'x,-y,z'
'x+1/2,y+1/2,z'
'-x+1/2,-y+1/2,-z'
'-x+1/2,y+1/2,-z'
'x+1/2,-y+1/2,z'
loop_
_atom_site_label
_atom_site_type_symbol
_atom_site_fract_x
_atom_site_fract_y
_atom_site_fract_z
Be1 Be 0.000 0.000 0.000
Rh1 Rh 0.250 0.250 0.500
Br1 Br 0.000 0.500 0.000
# - formation energy without anion corrections (eV per atom) = 0.4239
# - DOS(E_F) (states/eV per cell) = 5.9
# - V (Å³ per cell) = 119.4
# - E (eV/atom) = -4.602

=====

Record 5
# BeRh2Br | Alexandria via LeMat-Bulk | PBE | relaxed
data_BeRh2Br
_chemical_formula_sum 'Be1 Rh2 Br1'
_cell_length_a 2.917
_cell_length_b 2.917
_cell_length_c 6.682
_cell_angle_alpha 90.00
_cell_angle_beta 90.00
_cell_angle_gamma 90.00
_space_group_name_H-M_alt 'P 4/m m m'
_space_group_IT_number 123
_space_group_name_Hall '-P 4 2'
loop_
_atom_site_label
_atom_site_type_symbol
_atom_site_fract_x
_atom_site_fract_y
_atom_site_fract_z
Be1 Be 0.000 0.000 0.000
Rh1 Rh 0.500 0.500 0.201
Br1 Br 0.000 0.000 0.500
# - formation energy without anion corrections (eV per atom) = 0.1438
# - DOS(E_F) (states/eV per cell) = 4.4
# - V (Å³ per cell) = 56.9
# - E (eV/atom) = -4.882

=====

Record 6
# BeRh2Br | Alexandria via LeMat-Bulk | PBE | relaxed
data_BeRh2Br
_chemical_formula_sum 'Be1 Rh2 Br1'
_cell_length_a 3.133
_cell_length_b 4.415
_cell_length_c 4.391
_cell_angle_alpha 90.00
_cell_angle_beta 90.00
_cell_angle_gamma 90.00
_space_group_name_H-M_alt 'P m m 2'
_space_group_IT_number 25
loop_
_space_group_symop_operation_xyz
'x,y,z'
'-x,-y,z'
'-x,y,z'
'x,-y,z'
loop_
_atom_site_label
_atom_site_type_symbol
_atom_site_fract_x
_atom_site_fract_y
_atom_site_fract_z
Be1 Be 0.000 0.000 0.000
Rh1 Rh 0.000 0.500 0.171
Rh2 Rh 0.500 0.000 0.367
Br1 Br 0.500 0.500 0.667
# - formation energy without anion corrections (eV per atom) = 0.2709
# - DOS(E_F) (states/eV per cell) = 3.0
# - V (Å³ per cell) = 60.7
# - E (eV/atom) = -4.755